Below is a geometry-optimized K2NaCu2F7 structure, with properties calculated at the PBE level.

Cell lengths 4.0452, 4.0452, 21.0581 Å; angles 90.00, 90.00, 90.00 degrees
With the nearest neighbours (Å) after each atom.
Space group I4/mmm (No. 139)
One atom of each set of equivalent atoms:
K 0.0000 0.0000 0.1832 [4 per cell]  9 F 2.65-2.87
Na 0.0000 0.0000 0.0000 [2 per cell]  12 F 2.78-2.86
Cu 0.0000 0.0000 0.4057 [4 per cell]  6 F 1.99-2.04
F 0.0000 0.0000 0.3090 [4 per cell]  1 Cu 2.04
F 0.0000 0.0000 0.5000 [2 per cell]  2 Cu 1.99
F 0.0000 0.5000 0.0907 [8 per cell]  2 Cu 2.02

Results
- formation energy from raw total energies (eV/atom) = -2.170
- volume (Å³ per cell) = 344.6